1.
BaCaPb2 (GGA-PBEsol, relaxed); spin magnetization = 0.00 μB per formula unit; VASP energy = -3.587 eV/atom; theoretical density = 7.50 g cm⁻³; space-group type = No. 12; formation energy = -0.517 eV/atom
1.0
5.217 0.000 0.000
-2.609 5.390 -0.015
0.000 -2.457 4.665
Pb Ca Ba
2 1 1
Cartesian
2.609 0.881 3.431
0.000 2.053 1.219
0.000 -1.229 2.332
2.609 0.000 0.000

***

2.
ZrCd2ReOs (GGA-PBEsol, relaxed); spin magnetization = 0.00 μB per formula unit; VASP energy = -5.965 eV/atom; theoretical density = 10.01 g cm⁻³; space-group type = No. 123; formation energy = 1.442 eV/atom
1.0
4.629 0.000 0.000
0.000 4.981 0.000
0.000 0.000 4.981
Re Os Zr Cd
1 1 1 2
Cartesian
0.000 0.000 0.000
2.314 0.000 0.000
2.314 2.491 2.491
0.000 0.000 2.491
0.000 2.491 0.000

***

3.
ScP2ClF (GGA-PBEsol, relaxed); spin magnetization = 1.27 μB per formula unit; VASP energy = -4.454 eV/atom; theoretical density = 2.28 g cm⁻³; space-group type = No. 123; formation energy (no corrections) = -29 meV/atom
1.0
4.754 0.000 0.000
0.000 4.975 0.000
0.000 0.000 4.975
Sc P F Cl
1 2 1 1
Cartesian
0.000 0.000 0.000
0.000 0.000 2.487
0.000 2.487 0.000
2.377 2.487 2.487
2.377 0.000 0.000

***

4.
Tc2OsPb (GGA-PBEsol, relaxed); spin magnetization = 0.00 μB per formula unit; VASP energy = -9.087 eV/atom; theoretical density = 15.19 g cm⁻³; space-group type = No. 166; formation energy = 0.600 eV/atom
1.0
2.876 0.000 0.000
1.438 2.491 0.000
1.438 0.830 9.056
Os Pb Tc
1 1 2
Cartesian
2.876 1.661 4.528
0.000 0.000 0.000
1.438 0.830 2.462
4.315 2.491 6.594